# 1
Compound: Zr2NiRh
Source: Alexandria via LeMat-Bulk
Functional: PBE
Structure: optimized geometry

abc: 3.192 3.291 6.600
angles: 90.00 90.07 90.00
Fractional positions:
Zr (0.001, 0.000, 0.243)
Zr (0.999, 0.000, 0.757)
Ni (0.500, 0.500, 0.000)
Rh (0.500, 0.500, 0.500)

Computed properties:
The total energy comes out at -32.43 eV for the cell shown. As for the calculated volume: 17.333 Å³/atom.

# 2
Compound: Mg2Be2GeRh5
Source: Alexandria via LeMat-Bulk
Functional: PBE
Structure: optimized geometry

abc: 9.465 9.465 3.016
angles: 90.00 90.00 90.00
Fractional positions:
Mg (0.174, 0.326, 0.000)
Mg (0.326, 0.826, 0.000)
Mg (0.674, 0.174, 0.000)
Mg (0.826, 0.674, 0.000)
Be (0.125, 0.625, 0.000)
Be (0.375, 0.125, 0.000)
Be (0.625, 0.875, 0.000)
Be (0.875, 0.375, 0.000)
Ge (0.000, 0.000, 0.000)
Ge (0.500, 0.500, 0.000)
Rh (0.000, 0.500, 0.500)
Rh (0.071, 0.794, 0.500)
Rh (0.206, 0.071, 0.500)
Rh (0.294, 0.571, 0.500)
Rh (0.429, 0.294, 0.500)
Rh (0.500, 0.000, 0.500)
Rh (0.571, 0.706, 0.500)
Rh (0.706, 0.429, 0.500)
Rh (0.794, 0.929, 0.500)
Rh (0.929, 0.206, 0.500)

Computed properties:
The total energy comes out at -116.28 eV for the cell shown. As for the calculated volume: 13.512 Å³/atom.

# 3
Compound: CsNa2SnCl8
Source: Alexandria via LeMat-Bulk
Functional: PBE
Structure: optimized geometry

abc: 5.788 6.674 9.577
angles: 90.06 90.23 91.70
Fractional positions:
Cs (0.000, 0.000, 0.000)
Na (0.499, 0.500, 0.720)
Na (0.501, 0.500, 0.280)
Sn (0.000, 0.000, 0.500)
Cl (0.234, 0.851, 0.313)
Cl (0.236, 0.854, 0.688)
Cl (0.243, 0.314, 0.499)
Cl (0.258, 0.495, 0.000)
Cl (0.742, 0.505, 0.000)
Cl (0.757, 0.686, 0.501)
Cl (0.764, 0.146, 0.312)
Cl (0.766, 0.149, 0.687)

Computed properties:
As for the uncorrected formation energy: -1.277 eV per atom. As for the calculated volume: 30.816 Å³/atom.

# 4
Compound: KInAu2
Source: Alexandria via LeMat-Bulk
Functional: PBE
Structure: optimized geometry

abc: 4.888 4.888 6.494
angles: 110.40 110.40 57.21
Fractional positions:
K (0.000, 0.000, 0.000)
In (0.196, 0.196, 0.582)
Au (0.492, 0.492, 0.468)
Au (0.803, 0.803, 0.411)

Computed properties:
The total energy comes out at -11.39 eV for the cell shown. As for the calculated volume: 29.922 Å³/atom.

- What is the formula in the third record?
  CsNa2SnCl8